Here is a relaxed BeCuN2 crystal from the Alexandria database. Energies are from PBE-GGA.

Uncorrected energy in hartree per atom: -0.1992
Formation energy from raw total energies in eV per atom: 0.698
Volume in A^3/atom: 9.9

The structure in POSCAR format:
```
BeCuN2
1.0
-5.007 1.635 -1.164
-4.741 1.825 1.814
-3.628 3.991 0.070
Be Cu N
1 1 2
Direct
0.000 0.000 0.000
0.500 0.500 0.500
0.899 0.899 0.899
0.101 0.101 0.101
```